Model w:
# AgMoW2, relaxed, DFT PBEsol
# crystal system	monoclinic
# ρ	15.06	g/cm3
data_AgMoW2
_cell_length_a 2.6620
_cell_length_b 4.5482
_cell_length_c 5.2650
_cell_angle_alpha 90.00
_cell_angle_beta 98.71
_cell_angle_gamma 90.00
_space_group_name_H-M_alt 'P 1 2/m 1'
_space_group_IT_number 10
loop_
_space_group_symop_operation_xyz
'x,y,z'
'-x,-y,-z'
'-x,y,-z'
'x,-y,z'
loop_
_atom_site_label
_atom_site_type_symbol
_atom_site_fract_x
_atom_site_fract_y
_atom_site_fract_z
_atom_site_occupancy
Ag1 Ag 0.0000 0.0000 0.0000 1
Mo1 Mo 0.5000 0.0000 0.5000 1
W1 W 0.2542 0.5000 0.7433 1

***

Model x:
# AgMoW2, relaxed, DFT PBEsol
# crystal system	tetragonal
# ρ	15.15	g/cm3
data_AgMoW2
_cell_length_a 4.0863
_cell_length_b 4.0863
_cell_length_c 7.5028
_cell_angle_alpha 90.00
_cell_angle_beta 90.00
_cell_angle_gamma 90.00
_space_group_name_H-M_alt 'I -4 m 2'
_space_group_IT_number 119
_space_group_name_Hall 'I -4 -2'
loop_
_atom_site_label
_atom_site_type_symbol
_atom_site_fract_x
_atom_site_fract_y
_atom_site_fract_z
_atom_site_occupancy
Ag1 Ag 0.0000 0.0000 0.0000 1
Mo1 Mo 0.0000 0.5000 0.2500 1
W1 W 0.0000 0.0000 0.5000 1
W2 W 0.0000 0.5000 0.7500 1

***

Energetically preferred structure: model w | next structure: +0.109 eV/atom

***

Model w:
# Y2AgMo, relaxed, DFT PBEsol
# crystal system	tetragonal
# ρ	7.29	g/cm3
data_Y2AgMo
_cell_length_a 3.4626
_cell_length_b 3.4626
_cell_length_c 7.2535
_cell_angle_alpha 90.00
_cell_angle_beta 90.00
_cell_angle_gamma 90.00
_space_group_name_H-M_alt 'P 4/m m m'
_space_group_IT_number 123
_space_group_name_Hall '-P 4 2'
loop_
_atom_site_label
_atom_site_type_symbol
_atom_site_fract_x
_atom_site_fract_y
_atom_site_fract_z
_atom_site_occupancy
Y1 Y 0.0000 0.0000 0.2349 1
Ag1 Ag 0.5000 0.5000 0.5000 1
Mo1 Mo 0.5000 0.5000 0.0000 1

***

Model x:
# Y2AgMo, relaxed, DFT PBEsol
# crystal system	cubic
# ρ	7.67	g/cm3
data_Y2AgMo
_cell_length_a 6.9150
_cell_length_b 6.9150
_cell_length_c 6.9150
_cell_angle_alpha 90.00
_cell_angle_beta 90.00
_cell_angle_gamma 90.00
_space_group_name_H-M_alt 'F -4 3 m'
_space_group_IT_number 216
_space_group_name_Hall 'F -4 2 3'
loop_
_atom_site_label
_atom_site_type_symbol
_atom_site_fract_x
_atom_site_fract_y
_atom_site_fract_z
_atom_site_occupancy
Y1 Y 0.0000 0.0000 0.0000 1
Y2 Y 0.2500 0.2500 0.2500 1
Ag1 Ag 0.2500 0.2500 0.7500 1
Mo1 Mo 0.0000 0.0000 0.5000 1

***

Energetically preferred structure: model w | next structure: +0.357 eV/atom

***

Model w:
# Zr2AgMo, relaxed, DFT PBEsol
# crystal system	tetragonal
# ρ	8.67	g/cm3
data_Zr2AgMo
_cell_length_a 4.1005
_cell_length_b 4.1005
_cell_length_c 8.8047
_cell_angle_alpha 90.00
_cell_angle_beta 90.00
_cell_angle_gamma 90.00
_space_group_name_H-M_alt 'I -4 m 2'
_space_group_IT_number 119
_space_group_name_Hall 'I -4 -2'
loop_
_atom_site_label
_atom_site_type_symbol
_atom_site_fract_x
_atom_site_fract_y
_atom_site_fract_z
_atom_site_occupancy
Zr1 Zr 0.0000 0.0000 0.0000 1
Zr2 Zr 0.0000 0.5000 0.2500 1
Ag1 Ag 0.0000 0.0000 0.5000 1
Mo1 Mo 0.0000 0.5000 0.7500 1

***

Model x:
# Zr2AgMo, relaxed, DFT PBEsol
# crystal system	orthorhombic
# ρ	8.69	g/cm3
data_Zr2AgMo
_cell_length_a 3.4134
_cell_length_b 4.4689
_cell_length_c 9.6764
_cell_angle_alpha 90.00
_cell_angle_beta 90.00
_cell_angle_gamma 90.00
_space_group_name_H-M_alt 'C m m 2'
_space_group_IT_number 35
loop_
_space_group_symop_operation_xyz
'x,y,z'
'-x,-y,z'
'-x,y,z'
'x,-y,z'
'x+1/2,y+1/2,z'
'-x+1/2,-y+1/2,z'
'-x+1/2,y+1/2,z'
'x+1/2,-y+1/2,z'
loop_
_atom_site_label
_atom_site_type_symbol
_atom_site_fract_x
_atom_site_fract_y
_atom_site_fract_z
_atom_site_occupancy
Zr1 Zr 0.0000 0.0000 0.0000 1
Zr2 Zr 0.0000 0.5000 0.2861 1
Ag1 Ag 0.0000 0.0000 0.5362 1
Mo1 Mo 0.0000 0.5000 0.7667 1

***

Model y:
# Zr2AgMo, relaxed, DFT PBEsol
# crystal system	tetragonal
# ρ	8.57	g/cm3
data_Zr2AgMo
_cell_length_a 3.3703
_cell_length_b 3.3703
_cell_length_c 6.5922
_cell_angle_alpha 90.00
_cell_angle_beta 90.00
_cell_angle_gamma 90.00
_space_group_name_H-M_alt 'P 4/m m m'
_space_group_IT_number 123
_space_group_name_Hall '-P 4 2'
loop_
_atom_site_label
_atom_site_type_symbol
_atom_site_fract_x
_atom_site_fract_y
_atom_site_fract_z
_atom_site_occupancy
Zr1 Zr 0.0000 0.0000 0.2314 1
Ag1 Ag 0.5000 0.5000 0.5000 1
Mo1 Mo 0.5000 0.5000 0.0000 1

***

Energetically preferred structure: model y | next structure: +0.249 eV/atom